Record 1
{
  "formula": "HfRuPbO6",
  "functional": "PBE",
  "state": "relaxed",
  "cell": [[-2.560, -5.886, 3.695], [3.820, 2.003, 5.838], [-4.832, 4.865, -3.020]],
  "species": ["O", "Ru", "O", "O", "O", "Pb", "O", "O", "O", "O", "O", "Ru", "O", "O", "O", "Pb", "Hf", "Hf"],
  "fractional_positions": [[0.448, 0.698, 0.895], [0.500, 0.000, 0.000], [0.426, 0.670, 0.232], [0.807, 0.670, 0.232], [0.426, 0.062, 0.232], [0.033, 0.283, 0.067], [0.193, 0.938, 0.768], [0.170, 0.920, 0.340], [0.574, 0.330, 0.768], [0.807, 0.062, 0.232], [0.574, 0.938, 0.768], [0.500, 0.500, 0.000], [0.552, 0.302, 0.105], [0.830, 0.080, 0.660], [0.193, 0.330, 0.768], [0.967, 0.717, 0.933], [0.500, 0.000, 0.500], [0.000, 0.000, 0.500]],
  "magmom_total_mub_per_fu": 1.98,
  "volume_a3_per_atom": 16.153,
  "rho_g_cm3": 6.66,
  "raw_formation_energy_mev_per_atom": -1585,
  "e_tot_ev_per_cell": -133.90
}

***

Record 2
{
  "formula": "VSNCl2",
  "functional": "PBE",
  "state": "relaxed",
  "cell": [[-0.329, -2.324, -3.378], [3.868, -1.300, 0.518], [-1.557, -3.587, 2.620]],
  "species": ["V", "S", "Cl", "Cl", "N"],
  "fractional_positions": [[0.500, 0.500, 0.500], [0.000, 0.000, 0.500], [0.500, 0.000, 0.000], [0.000, 0.500, 0.000], [0.000, 0.000, 0.000]],
  "magmom_total_mub_per_fu": 0.21,
  "volume_a3_per_atom": 15.926,
  "rho_g_cm3": 3.50,
  "raw_formation_energy_mev_per_atom": 1163,
  "e_tot_ev_per_cell": -19.45,
  "e_above_lowest_polymorph_ev_per_atom": 0.649
}

***

Record 3
{
  "formula": "La4CePr3S8",
  "functional": "PBE",
  "state": "relaxed",
  "cell": [[-5.030, -2.386, 6.076], [-5.596, -2.384, -5.568], [7.691, -2.935, -0.374]],
  "species": ["S", "S", "Pr", "La", "S", "Ce", "La", "S", "Pr", "Pr", "La", "S", "La", "S", "S", "S"],
  "fractional_positions": [[0.247, 0.745, 0.999], [0.753, 0.255, 0.507], [0.500, 0.500, 0.000], [0.500, 0.000, 0.500], [0.248, 0.255, 0.001], [0.000, 0.500, 0.000], [0.500, 0.000, 0.000], [0.753, 0.255, 0.001], [0.500, 0.500, 0.500], [0.000, 0.500, 0.500], [0.000, 0.000, 0.500], [0.247, 0.745, 0.493], [0.000, 0.000, 0.000], [0.752, 0.745, 0.999], [0.749, 0.748, 0.499], [0.251, 0.252, 0.501]],
  "magmom_total_mub_per_fu": 0.80,
  "volume_a3_per_atom": 24.756,
  "rho_g_cm3": 5.76,
  "raw_formation_energy_mev_per_atom": -2101,
  "e_tot_ev_per_cell": -106.61
}

***

Record 4
{
  "formula": "Ta3TiHg",
  "functional": "PBE",
  "state": "relaxed",
  "cell": [[-2.698, -2.730, 2.745], [1.254, -3.782, -2.529], [3.663, -0.716, 2.888]],
  "species": ["Ta", "Ta", "Ti", "Ta", "Hg"],
  "fractional_positions": [[0.500, 0.000, 0.000], [0.000, 0.000, 0.500], [0.000, 0.000, 0.000], [0.000, 0.500, 0.000], [0.500, 0.500, 0.500]],
  "magmom_total_mub_per_fu": 0.00,
  "volume_a3_per_atom": 21.015,
  "rho_g_cm3": 12.51,
  "ef_ev_per_fu": 7.003,
  "e_tot_ev_per_cell": -36.75,
  "e_above_lowest_polymorph_ev_per_atom": 0.000
}

***

Record 5
{
  "formula": "TiCdRu2",
  "functional": "PBE",
  "state": "relaxed",
  "cell": [[-2.371, -1.814, -0.812], [1.002, -2.182, 1.950], [-3.672, 2.634, 4.834]],
  "species": ["Ru", "Ru", "Cd", "Ti"],
  "fractional_positions": [[0.000, 0.000, 0.220], [0.000, 0.000, 0.780], [0.500, 0.500, 0.500], [0.500, 0.500, 0.000]],
  "magmom_total_mub_per_fu": 0.00,
  "volume_a3_per_atom": 15.833,
  "rho_g_cm3": 9.50,
  "ef_ev_per_fu": -0.654,
  "e_tot_ev_per_cell": -28.02
}

***

Record 6
{
  "formula": "K2TaAs",
  "functional": "PBE",
  "state": "relaxed",
  "cell": [[2.938, 0.000, 0.000], [0.000, 2.938, 0.000], [0.000, 0.000, 11.777]],
  "species": ["Ta", "As", "K", "K"],
  "fractional_positions": [[0.500, 0.500, 0.250], [0.500, 0.500, 0.750], [0.000, 0.000, 0.970], [0.000, 0.000, 0.530]],
  "magmom_total_mub_per_fu": 0.26,
  "volume_a3_per_atom": 25.414,
  "rho_g_cm3": 5.46,
  "ef_ev_per_fu": 2.912,
  "e_tot_ev_per_cell": -15.79
}